A plane-wave DFT calculation with GGA-PBEsol was carried out for an optimized crystal structure of SbMoC2N.

Summary:
Calculated volume: 17.42 A^3/atom
Electronic total energy: -26.2 eV/cell
D(E_F): 4.54 states/eV/f.u.
Total moment: 3.17 μB/cell
Formation energy (no corrections): 3585 meV/atom

Geometry as CIF:
```
data_SbMoC2N
_chemical_formula_sum 'Sb1 Mo1 C2 N1'
_symmetry_space_group_name_H-M 'P 4/m m m'
_symmetry_Int_Tables_number 123
_symmetry_space_group_name_Hall '-P 4 2'
_cell_length_a 4.000
_cell_length_b 4.000
_cell_length_c 5.444
_cell_angle_alpha 90.00
_cell_angle_beta 90.00
_cell_angle_gamma 90.00
loop_
_atom_site_label
_atom_site_type_symbol
_atom_site_fract_x
_atom_site_fract_y
_atom_site_fract_z
Sb1 Sb 0.000 0.000 0.000
Mo1 Mo 0.000 0.000 0.500
C1 C 0.000 0.500 0.000
N1 N 0.500 0.500 0.500
```

---

A plane-wave DFT calculation with GGA-PBEsol was carried out for an optimized crystal structure of Te2MoCN.

Summary:
Calculated volume: 17.70 A^3/atom
Electronic total energy: -30.6 eV/cell
D(E_F): 2.62 states/eV/f.u.
Total moment: 1.94 μB/cell
Formation energy (no corrections): 1286 meV/atom

Geometry as CIF:
```
data_Te2MoCN
_chemical_formula_sum 'Te2 Mo1 C1 N1'
_symmetry_space_group_name_H-M 'P 4/m m m'
_symmetry_Int_Tables_number 123
_symmetry_space_group_name_Hall '-P 4 2'
_cell_length_a 5.798
_cell_length_b 5.798
_cell_length_c 2.633
_cell_angle_alpha 90.00
_cell_angle_beta 90.00
_cell_angle_gamma 90.00
loop_
_atom_site_label
_atom_site_type_symbol
_atom_site_fract_x
_atom_site_fract_y
_atom_site_fract_z
Te1 Te 0.000 0.500 0.000
Mo1 Mo 0.000 0.000 0.500
C1 C 0.500 0.500 0.000
N1 N 0.500 0.500 0.500
```

---

A plane-wave DFT calculation with GGA-PBEsol was carried out for an optimized crystal structure of NaMoC3.

Summary:
Calculated volume: 11.58 A^3/atom
Electronic total energy: -23.4 eV/cell
D(E_F): 3.37 states/eV/f.u.
Total moment: 1.31 μB/cell

Geometry as CIF:
```
data_NaMoC3
_chemical_formula_sum 'Na1 Mo1 C3'
_symmetry_space_group_name_H-M 'P m -3 m'
_symmetry_Int_Tables_number 221
_symmetry_space_group_name_Hall '-P 4 2 3'
_cell_length_a 3.869
_cell_length_b 3.869
_cell_length_c 3.869
_cell_angle_alpha 90.00
_cell_angle_beta 90.00
_cell_angle_gamma 90.00
loop_
_atom_site_label
_atom_site_type_symbol
_atom_site_fract_x
_atom_site_fract_y
_atom_site_fract_z
Na1 Na 0.000 0.000 0.000
Mo1 Mo 0.500 0.500 0.500
C1 C 0.000 0.000 0.500
```

---

A plane-wave DFT calculation with GGA-PBEsol was carried out for an optimized crystal structure of Na3MoC.

Summary:
Calculated volume: 41.26 A^3/atom
Electronic total energy: -12.4 eV/cell
D(E_F): 4.89 states/eV/f.u.
Total moment: 7.19 μB/cell

Geometry as CIF:
```
data_Na3MoC
_chemical_formula_sum 'Na3 Mo1 C1'
_symmetry_space_group_name_H-M 'P m -3 m'
_symmetry_Int_Tables_number 221
_symmetry_space_group_name_Hall '-P 4 2 3'
_cell_length_a 5.909
_cell_length_b 5.909
_cell_length_c 5.909
_cell_angle_alpha 90.00
_cell_angle_beta 90.00
_cell_angle_gamma 90.00
loop_
_atom_site_label
_atom_site_type_symbol
_atom_site_fract_x
_atom_site_fract_y
_atom_site_fract_z
Na1 Na 0.000 0.000 0.500
Mo1 Mo 0.000 0.000 0.000
C1 C 0.500 0.500 0.500
```

---

A plane-wave DFT calculation with GGA-PBEsol was carried out for an optimized crystal structure of Zr2NbMoC4.

Summary:
Calculated volume: 11.61 A^3/atom
Electronic total energy: -252.0 eV/cell
D(E_F): 2.82 states/eV/f.u.
Total moment: 0.00 μB/cell

Geometry as CIF:
```
data_Zr2NbMoC4
_chemical_formula_sum 'Zr6 Nb3 Mo3 C12'
_symmetry_space_group_name_H-M 'R 3 m'
_symmetry_Int_Tables_number 160
_symmetry_space_group_name_Hall 'R 3 -2"'
_cell_length_a 3.2099
_cell_length_b 3.2099
_cell_length_c 31.2250
_cell_angle_alpha 90.00
_cell_angle_beta 90.00
_cell_angle_gamma 120.00
loop_
_atom_site_label
_atom_site_type_symbol
_atom_site_fract_x
_atom_site_fract_y
_atom_site_fract_z
Zr1 Zr 0.0000 0.0000 0.0000
Zr2 Zr 0.0000 0.0000 0.2458
Nb1 Nb 0.0000 0.0000 0.7522
Mo1 Mo 0.0000 0.0000 0.4967
C1 C 0.0000 0.0000 0.1258
C2 C 0.0000 0.0000 0.3776
C3 C 0.0000 0.0000 0.6229
C4 C 0.0000 0.0000 0.8685
```

---

A plane-wave DFT calculation with GGA-PBEsol was carried out for an optimized crystal structure of Nd2MoC2.

Summary:
Calculated volume: 17.08 A^3/atom
Electronic total energy: -170.5 eV/cell
D(E_F): 2.00 states/eV/f.u.
Total moment: 0.00 μB/cell

Geometry as CIF:
```
data_Nd2MoC2
_chemical_formula_sum 'Nd8 Mo4 C8'
_symmetry_space_group_name_H-M 'P 42/m n m'
_symmetry_Int_Tables_number 136
_symmetry_space_group_name_Hall '-P 4n 2n'
_cell_length_a 5.777
_cell_length_b 5.777
_cell_length_c 10.238
_cell_angle_alpha 90.00
_cell_angle_beta 90.00
_cell_angle_gamma 90.00
loop_
_atom_site_label
_atom_site_type_symbol
_atom_site_fract_x
_atom_site_fract_y
_atom_site_fract_z
Nd1 Nd 0.197 0.197 0.156
Mo1 Mo 0.176 0.176 0.500
C1 C 0.000 0.000 0.356
C2 C 0.000 0.500 0.000
```